Entry 1:
## Cs2CePO6 (GGA-PBE)

Data for Cs2CePO6 after structural relaxation.

a b c (Å): 6.714 6.714 5.631
angles (deg): 90.00 90.00 120.00
Positions (direct):
Cs1 0.333 0.667 0.372
Cs2 0.667 0.333 0.628
Ce1 0.000 0.000 0.000
P1 0.000 0.000 0.500
O1 0.120 0.240 0.682
O2 0.120 0.880 0.682
O3 0.240 0.120 0.318
O4 0.760 0.880 0.682
O5 0.880 0.120 0.318
O6 0.880 0.760 0.318

Computed properties:
calculated total energy	-6.331	eV per atom
SG	P-3m1

=====

Entry 2:
## Cs3CePa2O9 (GGA-PBE)

Data for Cs3CePa2O9 after structural relaxation.

a b c (Å): 6.330 6.330 7.751
angles (deg): 90.00 90.00 120.00
Positions (direct):
Cs1 0.000 0.000 0.000
Cs2 0.333 0.667 0.664
Cs3 0.667 0.333 0.336
Ce1 0.000 0.000 0.500
Pa1 0.333 0.667 0.167
Pa2 0.667 0.333 0.833
O1 0.000 0.500 0.000
O2 0.171 0.343 0.328
O3 0.171 0.829 0.328
O4 0.343 0.171 0.672
O5 0.500 0.000 0.000
O6 0.500 0.500 0.000
O7 0.657 0.829 0.328
O8 0.829 0.171 0.672
O9 0.829 0.657 0.672

Computed properties:
calculated total energy	-7.629	eV per atom
SG	P-3m1

=====

Entry 3:
## Cs2CePaO6 (GGA-PBE)

Data for Cs2CePaO6 after structural relaxation.

a b c (Å): 6.351 6.351 6.351
angles (deg): 60.00 60.00 60.00
Positions (direct):
Cs1 0.250 0.250 0.250
Cs2 0.750 0.750 0.750
Ce1 0.000 0.000 0.000
Pa1 0.500 0.500 0.500
O1 0.256 0.256 0.744
O2 0.256 0.744 0.256
O3 0.256 0.744 0.744
O4 0.744 0.256 0.256
O5 0.744 0.256 0.744
O6 0.744 0.744 0.256

Computed properties:
calculated total energy	-7.386	eV per atom
SG	Fm-3m

=====

Entry 4:
## CsCePaO6 (GGA-PBE)

Data for CsCePaO6 after structural relaxation.

a b c (Å): 8.206 8.206 8.206
angles (deg): 121.04 119.49 89.55
Positions (direct):
Cs1 0.355 0.105 0.250
Cs2 0.645 0.895 0.750
Ce1 0.000 0.000 0.500
Ce2 0.000 0.500 0.000
Pa1 0.000 0.500 0.500
Pa2 0.500 0.500 0.000
O1 0.062 0.432 0.256
O2 0.062 0.806 0.630
O3 0.067 0.817 0.250
O4 0.310 0.560 0.750
O5 0.324 0.194 0.756
O6 0.324 0.568 0.130
O7 0.676 0.432 0.870
O8 0.676 0.806 0.244
O9 0.690 0.440 0.250
O10 0.933 0.183 0.750
O11 0.938 0.194 0.370
O12 0.938 0.568 0.744

Computed properties:
calculated total energy	-7.720	eV per atom
SG	Imma

=====

Entry 5:
## Cs2CePa3O12 (GGA-PBE)

Data for Cs2CePa3O12 after structural relaxation.

a b c (Å): 8.135 8.135 8.135
angles (deg): 60.40 60.40 60.40
Positions (direct):
Cs1 0.127 0.127 0.127
Cs2 0.873 0.873 0.873
Ce1 0.500 0.500 0.500
Pa1 0.000 0.500 0.500
Pa2 0.500 0.000 0.500
Pa3 0.500 0.500 0.000
O1 0.176 0.566 0.566
O2 0.186 0.186 0.565
O3 0.186 0.565 0.186
O4 0.434 0.434 0.824
O5 0.434 0.824 0.434
O6 0.435 0.814 0.814
O7 0.565 0.186 0.186
O8 0.566 0.176 0.566
O9 0.566 0.566 0.176
O10 0.814 0.435 0.814
O11 0.814 0.814 0.435
O12 0.824 0.434 0.434

Computed properties:
calculated total energy	-8.143	eV per atom
SG	R-3m

=====

Entry 6:
## CsCe2PaO8 (GGA-PBE)

Data for CsCe2PaO8 after structural relaxation.

a b c (Å): 3.838 8.569 5.578
angles (deg): 90.00 92.54 90.00
Positions (direct):
Cs1 0.000 0.000 0.000
Ce1 0.500 0.279 0.500
Ce2 0.500 0.721 0.500
Pa1 0.000 0.500 0.000
O1 0.011 0.294 0.258
O2 0.011 0.706 0.258
O3 0.404 0.000 0.609
O4 0.492 0.500 0.762
O5 0.508 0.500 0.238
O6 0.596 0.000 0.391
O7 0.989 0.294 0.742
O8 0.989 0.706 0.742

Computed properties:
calculated total energy	-8.073	eV per atom
SG	P2/m

=====

Entry 7:
## Cs4CePa3O12 (GGA-PBE)

Data for Cs4CePa3O12 after structural relaxation.

a b c (Å): 7.743 7.743 7.743
angles (deg): 109.47 109.47 109.47
Positions (direct):
Cs1 0.000 0.000 0.500
Cs2 0.000 0.500 0.000
Cs3 0.500 0.000 0.000
Cs4 0.500 0.500 0.500
Ce1 0.000 0.000 0.000
Pa1 0.000 0.500 0.500
Pa2 0.500 0.000 0.500
Pa3 0.500 0.500 0.000
O1 0.000 0.259 0.259
O2 0.000 0.741 0.741
O3 0.250 0.500 0.750
O4 0.250 0.750 0.500
O5 0.259 0.000 0.259
O6 0.259 0.259 0.000
O7 0.500 0.250 0.750
O8 0.500 0.750 0.250
O9 0.741 0.000 0.741
O10 0.741 0.741 0.000
O11 0.750 0.250 0.500
O12 0.750 0.500 0.250

Computed properties:
calculated total energy	-7.752	eV per atom
SG	Im-3m

=====

Entry 8:
## Cs3CePb2O6 (GGA-PBE)

Data for Cs3CePb2O6 after structural relaxation.

a b c (Å): 6.521 6.521 7.926
angles (deg): 90.00 90.00 120.00
Positions (direct):
Cs1 0.000 0.000 0.000
Cs2 0.333 0.667 0.664
Cs3 0.667 0.333 0.336
Ce1 0.000 0.000 0.500
Pb1 0.333 0.667 0.207
Pb2 0.667 0.333 0.793
O1 0.162 0.325 0.333
O2 0.162 0.838 0.333
O3 0.325 0.162 0.667
O4 0.675 0.838 0.333
O5 0.838 0.162 0.667
O6 0.838 0.675 0.667

Computed properties:
calculated total energy	-5.526	eV per atom
SG	P-3m1

=====

Entry 9:
## CsCePbO4 (GGA-PBE)

Data for CsCePbO4 after structural relaxation.

a b c (Å): 7.415 7.415 7.415
angles (deg): 121.25 117.90 90.76
Positions (direct):
Cs1 0.386 0.136 0.250
Cs2 0.614 0.864 0.750
Ce1 0.000 0.000 0.500
Ce2 0.000 0.500 0.000
Pb1 0.000 0.500 0.500
Pb2 0.500 0.500 0.000
O1 0.168 0.740 0.428
O2 0.189 0.260 0.928
O3 0.223 0.278 0.555
O4 0.223 0.668 0.945
O5 0.777 0.332 0.055
O6 0.777 0.722 0.445
O7 0.811 0.740 0.072
O8 0.832 0.260 0.572

Computed properties:
calculated total energy	-6.312	eV per atom
SG	Imma

=====

Entry 10:
## Cs4CePm3O8 (GGA-PBE)

Data for Cs4CePm3O8 after structural relaxation.

a b c (Å): 8.152 8.152 8.152
angles (deg): 53.64 53.64 53.64
Positions (direct):
Cs1 0.000 0.000 0.000
Cs2 0.000 0.500 0.500
Cs3 0.500 0.000 0.500
Cs4 0.500 0.500 0.000
Ce1 0.500 0.500 0.500
Pm1 0.000 0.000 0.500
Pm2 0.000 0.500 0.000
Pm3 0.500 0.000 0.000
O1 0.222 0.222 0.222
O2 0.225 0.720 0.720
O3 0.280 0.280 0.775
O4 0.280 0.775 0.280
O5 0.720 0.225 0.720
O6 0.720 0.720 0.225
O7 0.775 0.280 0.280
O8 0.778 0.778 0.778

Computed properties:
calculated total energy	-6.489	eV per atom
SG	R-3m

=====

Entry 11:
## CsCe2Pr2O7 (GGA-PBE)

Data for CsCe2Pr2O7 after structural relaxation.

a b c (Å): 10.512 10.512 10.512
angles (deg): 153.81 153.81 37.38
Positions (direct):
Cs1 0.000 0.000 0.000
Ce1 0.391 0.391 0.000
Ce2 0.609 0.609 0.000
Pr1 0.250 0.750 0.500
Pr2 0.750 0.250 0.500
O1 0.129 0.629 0.500
O2 0.271 0.271 0.000
O3 0.371 0.871 0.500
O4 0.500 0.500 0.000
O5 0.629 0.129 0.500
O6 0.729 0.729 0.000
O7 0.871 0.371 0.500

Computed properties:
calculated total energy	-7.709	eV per atom
SG	I4/mmm

=====

Entry 12:
## CsCe2PtO8 (GGA-PBE)

Data for CsCe2PtO8 after structural relaxation.

a b c (Å): 4.914 4.914 8.218
angles (deg): 90.18 90.18 89.91
Positions (direct):
Cs1 0.000 0.000 0.000
Ce1 0.499 0.499 0.715
Ce2 0.501 0.501 0.285
Pt1 0.000 0.000 0.500
O1 0.198 0.799 0.324
O2 0.201 0.802 0.676
O3 0.287 0.287 0.499
O4 0.395 0.395 0.000
O5 0.605 0.605 0.000
O6 0.713 0.713 0.501
O7 0.799 0.198 0.324
O8 0.802 0.201 0.676

Computed properties:
calculated total energy	-6.714	eV per atom
SG	C2/m

=====

Entry 13:
## CsCe2PuO8 (GGA-PBE)

Data for CsCe2PuO8 after structural relaxation.

a b c (Å): 5.233 5.408 7.612
angles (deg): 88.65 89.40 89.88
Positions (direct):
Cs1 0.000 0.000 0.000
Ce1 0.500 0.497 0.736
Ce2 0.500 0.503 0.264
Pu1 0.000 0.000 0.500
O1 0.199 0.160 0.672
O2 0.206 0.161 0.319
O3 0.288 0.576 0.938
O4 0.296 0.678 0.498
O5 0.704 0.322 0.502
O6 0.712 0.424 0.062
O7 0.794 0.839 0.681
O8 0.801 0.840 0.328

Computed properties:
calculated total energy	-8.159	eV per atom
SG	P-1

=====

Entry 14:
## Cs3CePu2O9 (GGA-PBE)

Data for Cs3CePu2O9 after structural relaxation.

a b c (Å): 6.232 6.232 7.643
angles (deg): 90.00 90.00 120.00
Positions (direct):
Cs1 0.000 0.000 0.000
Cs2 0.333 0.667 0.664
Cs3 0.667 0.333 0.336
Ce1 0.000 0.000 0.500
Pu1 0.333 0.667 0.162
Pu2 0.667 0.333 0.838
O1 0.000 0.500 0.000
O2 0.174 0.349 0.322
O3 0.174 0.826 0.322
O4 0.349 0.174 0.678
O5 0.500 0.000 0.000
O6 0.500 0.500 0.000
O7 0.651 0.826 0.322
O8 0.826 0.174 0.678
O9 0.826 0.651 0.678

Computed properties:
calculated total energy	-7.952	eV per atom
SG	P-3m1

=====

Entry 15:
## CsCePuO6 (GGA-PBE)

Data for CsCePuO6 after structural relaxation.

a b c (Å): 7.595 7.595 7.595
angles (deg): 121.05 114.26 94.20
Positions (direct):
Cs1 0.397 0.147 0.250
Cs2 0.603 0.853 0.750
Ce1 0.000 0.000 0.500
Ce2 0.000 0.500 0.000
Pu1 0.000 0.500 0.500
Pu2 0.500 0.500 0.000
O1 0.098 0.848 0.250
O2 0.144 0.446 0.331
O3 0.144 0.813 0.698
O4 0.175 0.425 0.750
O5 0.385 0.187 0.831
O6 0.385 0.554 0.198
O7 0.615 0.446 0.802
O8 0.615 0.813 0.169
O9 0.825 0.575 0.250
O10 0.856 0.187 0.302
O11 0.856 0.554 0.669
O12 0.902 0.152 0.750

Computed properties:
calculated total energy	-8.258	eV per atom
SG	Imma

=====

Entry 16:
## Cs2CePuO6 (GGA-PBE)

Data for Cs2CePuO6 after structural relaxation.

a b c (Å): 6.297 6.297 6.297
angles (deg): 119.56 119.56 90.76
Positions (direct):
Cs1 0.250 0.750 0.500
Cs2 0.750 0.250 0.500
Ce1 0.000 0.000 0.000
Pu1 0.500 0.500 0.000
O1 0.237 0.237 0.000
O2 0.275 0.275 0.550
O3 0.275 0.725 0.000
O4 0.725 0.275 0.000
O5 0.725 0.725 0.450
O6 0.763 0.763 0.000

Computed properties:
calculated total energy	-7.708	eV per atom
SG	I4/mmm

=====

Entry 17:
## CsRb2Ce3O8 (GGA-PBE)

Data for CsRb2Ce3O8 after structural relaxation.

a b c (Å): 7.946 7.946 7.946
angles (deg): 54.16 54.16 54.16
Positions (direct):
Cs1 0.000 0.000 0.000
Rb1 0.251 0.251 0.251
Rb2 0.629 0.629 0.629
Ce1 0.129 0.629 0.629
Ce2 0.629 0.129 0.629
Ce3 0.629 0.629 0.129
O1 0.374 0.374 0.802
O2 0.374 0.802 0.374
O3 0.407 0.407 0.407
O4 0.459 0.883 0.883
O5 0.802 0.374 0.374
O6 0.850 0.850 0.850
O7 0.883 0.459 0.883
O8 0.883 0.883 0.459

Computed properties:
calculated total energy	-6.865	eV per atom
SG	R3m

=====

Entry 18:
## CsRbCeO3 (GGA-PBE)

Data for CsRbCeO3 after structural relaxation.

a b c (Å): 7.819 7.819 6.301
angles (deg): 94.75 94.75 126.23
Positions (direct):
Cs1 0.087 0.913 0.750
Cs2 0.913 0.087 0.250
Rb1 0.275 0.725 0.250
Rb2 0.725 0.275 0.750
Ce1 0.441 0.559 0.750
Ce2 0.559 0.441 0.250
O1 0.282 0.359 0.014
O2 0.293 0.707 0.750
O3 0.359 0.282 0.514
O4 0.641 0.718 0.486
O5 0.707 0.293 0.250
O6 0.718 0.641 0.986

Computed properties:
calculated total energy	-6.076	eV per atom
SG	C2/c

=====

Entry 19:
## CsCe2ReO8 (GGA-PBE)

Data for CsCe2ReO8 after structural relaxation.

a b c (Å): 5.565 5.565 7.876
angles (deg): 101.17 101.17 74.47
Positions (direct):
Cs1 0.000 0.000 0.000
Ce1 0.445 0.445 0.771
Ce2 0.555 0.555 0.229
Re1 0.000 0.000 0.500
O1 0.193 0.790 0.668
O2 0.210 0.807 0.332
O3 0.218 0.218 0.574
O4 0.356 0.356 0.000
O5 0.644 0.644 0.000
O6 0.782 0.782 0.426
O7 0.790 0.193 0.668
O8 0.807 0.210 0.332

Computed properties:
calculated total energy	-7.747	eV per atom
SG	C2/m